Entry 1:
{
  "formula": "Ca3Cd9Sn2",
  "functional": "PBE",
  "state": "optimized geometry",
  "lattice": [[-2.3906, 5.5363, 6.8413], [2.3906, -5.5363, 6.8413], [2.3906, 5.5363, -6.8413]],
  "species": ["Ca", "Ca", "Ca", "Cd", "Cd", "Cd", "Cd", "Cd", "Cd", "Cd", "Cd", "Cd", "Sn", "Sn"],
  "fractional_positions": [[0.0000, 0.0000, 0.0000], [0.2989, 0.2989, 0.0000], [0.7011, 0.7011, 0.0000], [0.0259, 0.6524, 0.3735], [0.1330, 0.8526, 0.2804], [0.2788, 0.6524, 0.6265], [0.4277, 0.1474, 0.2804], [0.5000, 0.0000, 0.5000], [0.5723, 0.8526, 0.7196], [0.7212, 0.3476, 0.3735], [0.8670, 0.1474, 0.7196], [0.9741, 0.3476, 0.6265], [0.3181, 0.5000, 0.8181], [0.6819, 0.5000, 0.1819]],
  "space_group": "Immm (71)",
  "delta_e_f_ev_per_atom": -0.25
}

***

Entry 2:
{
  "formula": "Sr2CaCd3Sn4",
  "functional": "PBE",
  "state": "optimized geometry",
  "lattice": [[4.8776, 0.0000, 0.0000], [0.0000, 4.8776, 0.0000], [0.0000, 0.0000, 12.7499]],
  "species": ["Sr", "Sr", "Ca", "Cd", "Cd", "Cd", "Sn", "Sn", "Sn", "Sn"],
  "fractional_positions": [[0.0000, 0.5000, 0.2380], [0.5000, 0.0000, 0.7620], [0.0000, 0.0000, 0.5000], [0.0000, 0.5000, 0.8652], [0.5000, 0.0000, 0.1348], [0.5000, 0.5000, 0.5000], [0.0000, 0.0000, 0.0000], [0.0000, 0.5000, 0.6470], [0.5000, 0.0000, 0.3530], [0.5000, 0.5000, 0.0000]],
  "space_group": "P-4m2 (115)",
  "delta_e_f_ev_per_atom": -0.41
}

***

Entry 3:
{
  "formula": "Sr2CaCd2Sn2",
  "functional": "PBE",
  "state": "optimized geometry",
  "lattice": [[2.5355, 1.4638, 9.9115], [-2.5355, 1.4638, 9.9115], [0.0000, -2.9277, 9.9115]],
  "species": ["Sr", "Sr", "Ca", "Cd", "Cd", "Sn", "Sn"],
  "fractional_positions": [[0.1264, 0.1264, 0.1264], [0.8736, 0.8736, 0.8736], [0.0000, 0.0000, 0.0000], [0.3902, 0.3902, 0.3902], [0.6098, 0.6098, 0.6098], [0.2642, 0.2642, 0.2642], [0.7358, 0.7358, 0.7358]],
  "space_group": "R-3m (166)",
  "delta_e_f_ev_per_atom": -0.38
}

***

Entry 4:
{
  "formula": "SrCa2Cd2Sn2",
  "functional": "PBE",
  "state": "optimized geometry",
  "lattice": [[2.5412, 1.4672, 9.3064], [-2.5412, 1.4672, 9.3064], [0.0000, -2.9343, 9.3064]],
  "species": ["Sr", "Ca", "Ca", "Cd", "Cd", "Sn", "Sn"],
  "fractional_positions": [[0.0000, 0.0000, 0.0000], [0.1368, 0.1368, 0.1368], [0.8632, 0.8632, 0.8632], [0.4382, 0.4382, 0.4382], [0.5618, 0.5618, 0.5618], [0.2586, 0.2586, 0.2586], [0.7414, 0.7414, 0.7414]],
  "space_group": "R-3m (166)",
  "delta_e_f_ev_per_atom": -0.46
}

***

Number 2 is which compound?
Sr2CaCd3Sn4

***

Repeat the fourth record exactly.
{
  "formula": "SrCa2Cd2Sn2",
  "functional": "PBE",
  "state": "optimized geometry",
  "lattice": [[2.5412, 1.4672, 9.3064], [-2.5412, 1.4672, 9.3064], [0.0000, -2.9343, 9.3064]],
  "species": ["Sr", "Ca", "Ca", "Cd", "Cd", "Sn", "Sn"],
  "fractional_positions": [[0.0000, 0.0000, 0.0000], [0.1368, 0.1368, 0.1368], [0.8632, 0.8632, 0.8632], [0.4382, 0.4382, 0.4382], [0.5618, 0.5618, 0.5618], [0.2586, 0.2586, 0.2586], [0.7414, 0.7414, 0.7414]],
  "space_group": "R-3m (166)",
  "delta_e_f_ev_per_atom": -0.46
}